Entry 1:
CdRe2P | Alexandria via LeMat-Bulk | GGA-PBE | optimized geometry; raw total energy = -7.266 eV per atom; formation energy from the elements = 0.54 eV per atom; density of states at the Fermi level = 2.8 states/eV/cell
1.0
-0.5967 -3.5125 4.4062
4.0937 -3.1162 2.3746
-2.0034 5.0714 -1.5413
P Re Cd
1 2 1
direct
0.2212 0.7212 0.5000
0.7743 0.2743 0.5000
0.0398 0.0398 0.0000
0.4647 0.4647 0.0000

Entry 2:
CdRe2P | Alexandria via LeMat-Bulk | GGA-PBE | optimized geometry; raw total energy = -7.013 eV per atom; formation energy from the elements = 0.79 eV per atom; density of states at the Fermi level = 3.1 states/eV/cell
1.0
4.3726 0.0002 0.0000
-0.0002 4.3726 0.0000
0.0000 0.0000 3.1474
P Cd Re
1 1 2
direct
0.0000 0.5000 0.5000
0.5000 0.0000 0.5000
0.0000 0.0000 0.0000
0.5000 0.5000 0.0000

Entry 3:
CdReP3 | Alexandria via LeMat-Bulk | GGA-PBE | optimized geometry; raw total energy = -5.365 eV per atom; formation energy from the elements = 0.55 eV per atom; density of states at the Fermi level = 3.3 states/eV/cell
1.0
-3.7319 -1.0651 2.6265
-1.7138 -2.6107 -3.4938
2.2573 -3.7429 1.6896
P Re Cd
3 1 1
direct
0.5000 0.0000 0.0000
0.0000 0.5000 0.0000
0.0000 0.0000 0.5000
0.0000 0.0000 0.0000
0.5000 0.5000 0.5000

Entry 4:
CdRe2P | Alexandria via LeMat-Bulk | GGA-PBE | optimized geometry; raw total energy = -7.360 eV per atom; formation energy from the elements = 0.44 eV per atom; density of states at the Fermi level = 2.2 states/eV/cell
1.0
-2.1326 -3.7262 1.0752
0.7856 -4.1283 1.3887
-0.8263 -0.6256 6.8893
Cd Re P
1 2 1
direct
0.4106 0.4106 0.4663
0.0160 0.0160 0.0693
0.7935 0.7935 0.8455
0.2799 0.2799 0.1190

Entry 5:
CdRe2P | Alexandria via LeMat-Bulk | GGA-PBE | optimized geometry; raw total energy = -7.636 eV per atom; formation energy from the elements = 0.17 eV per atom; density of states at the Fermi level = 3.4 states/eV/cell
1.0
2.9149 0.0000 0.0000
0.0000 2.9149 0.0000
0.0000 0.0000 7.8758
P Re Cd
1 2 1
direct
0.5000 0.5000 0.8106
0.5000 0.5000 0.2126
0.0000 0.0000 0.9930
0.0000 0.0000 0.4838

Entry 6:
Cd3ReP | Alexandria via LeMat-Bulk | GGA-PBE | optimized geometry; raw total energy = -2.764 eV per atom; formation energy from the elements = 1.36 eV per atom; density of states at the Fermi level = 3.7 states/eV/cell
1.0
4.9666 0.0000 0.0000
0.0000 4.9666 0.0000
0.0000 0.0000 4.9666
P Cd Re
1 3 1
direct
0.0000 0.0000 0.0000
0.0000 0.0000 0.5000
0.5000 0.0000 0.0000
0.0000 0.5000 0.0000
0.5000 0.5000 0.5000

Entry 7:
CdRe2P | Alexandria via LeMat-Bulk | GGA-PBE | optimized geometry; raw total energy = -6.957 eV per atom; formation energy from the elements = 0.85 eV per atom; density of states at the Fermi level = 3.1 states/eV/cell
1.0
-0.0554 0.8052 2.8515
-4.5870 1.0701 -0.3913
-1.0984 -4.2747 1.1857
Re Cd P
2 1 1
direct
0.5000 0.5000 0.0000
0.0000 0.0000 0.0000
0.5000 0.0000 0.5000
0.0000 0.5000 0.5000

Entry 8:
CdRe2P | Alexandria via LeMat-Bulk | GGA-PBE | optimized geometry; raw total energy = -7.369 eV per atom; formation energy from the elements = 0.44 eV per atom; density of states at the Fermi level = 2.6 states/eV/cell
1.0
2.8698 0.0031 0.0000
-1.3071 2.5549 0.0000
0.0000 0.0000 8.6263
Re Cd P
2 1 1
direct
0.0000 0.0000 0.9590
0.0000 0.0000 0.5410
0.5000 0.5000 0.2500
0.5000 0.5000 0.7500

Entry 9:
CdRe2P | Alexandria via LeMat-Bulk | GGA-PBE | optimized geometry; raw total energy = -7.029 eV per atom; formation energy from the elements = 0.78 eV per atom; density of states at the Fermi level = 3.3 states/eV/cell
1.0
-1.3674 -4.1567 0.3929
-0.2732 -1.8565 3.9726
-3.9339 -0.8617 1.7562
Cd P Re
1 1 2
direct
0.5000 0.5000 0.5000
0.0000 0.0000 0.0000
0.2500 0.2500 0.2500
0.7500 0.7500 0.7500

Entry 10:
CdRe2P | Alexandria via LeMat-Bulk | GGA-PBE | optimized geometry; raw total energy = -7.468 eV per atom; formation energy from the elements = 0.34 eV per atom; density of states at the Fermi level = 1.9 states/eV/cell
1.0
-3.8311 -0.0882 2.0429
-0.7997 -2.3162 -1.5998
1.6251 -4.3758 2.8587
P Re Cd
1 2 1
direct
0.5000 0.9055 0.8135
0.5000 0.2270 0.1725
0.0000 0.8144 0.9969
0.0000 0.5531 0.5171

Entry 11:
CdRe4P | Alexandria via LeMat-Bulk | GGA-PBE | optimized geometry; raw total energy = -8.521 eV per atom; formation energy from the elements = 0.83 eV per atom; density of states at the Fermi level = 5.1 states/eV/cell
1.0
0.0000 3.7156 3.7156
3.7156 0.0000 3.7156
3.7156 3.7156 0.0000
Re Cd P
4 1 1
direct
0.3744 0.3744 0.3744
0.3744 0.8769 0.3744
0.8769 0.3744 0.3744
0.3744 0.3744 0.8769
0.7500 0.7500 0.7500
0.0000 0.0000 0.0000

Entry 12:
CdRe3P | Alexandria via LeMat-Bulk | GGA-PBE | optimized geometry; raw total energy = -5.279 eV per atom; formation energy from the elements = 3.45 eV per atom; density of states at the Fermi level = 7.4 states/eV/cell
1.0
-2.1727 -0.2575 -4.3006
4.2119 -1.1401 -2.0596
-0.9063 -4.6814 0.7382
Re P Cd
3 1 1
direct
0.0000 0.0000 0.5000
0.0000 0.5000 0.0000
0.5000 0.0000 0.0000
0.5000 0.5000 0.5000
0.0000 0.0000 0.0000

Entry 13:
CdRe2P | Alexandria via LeMat-Bulk | GGA-PBE | optimized geometry; raw total energy = -7.371 eV per atom; formation energy from the elements = 0.43 eV per atom; density of states at the Fermi level = 2.9 states/eV/cell
1.0
-0.0695 1.7926 -2.1158
-1.9305 -1.9918 0.0284
-6.3749 6.2574 5.5111
Cd Re P
1 2 1
direct
0.0000 0.0000 0.4699
0.0000 0.0000 0.0031
0.5000 0.5000 0.2133
0.5000 0.5000 0.8137

Entry 14:
CdRe2P2 | Alexandria via LeMat-Bulk | GGA-PBE | optimized geometry; raw total energy = -7.206 eV per atom; formation energy from the elements = 0.12 eV per atom; density of states at the Fermi level = 2.2 states/eV/cell
1.0
3.7475 0.0000 0.0000
0.0000 3.7475 0.0000
1.8738 1.8738 5.7572
Re Cd P
2 1 2
direct
0.3778 0.3778 0.2444
0.6222 0.6222 0.7556
0.0000 0.0000 0.0000
0.2500 0.7500 0.5000
0.7500 0.2500 0.5000

Entry 15:
CdRePS2 | Alexandria via LeMat-Bulk | GGA-PBE | optimized geometry; raw total energy = -3.401 eV per atom; uncorrected formation energy = 2.0043 eV per atom; density of states at the Fermi level = 7.7 states/eV/cell
1.0
-3.4645 3.1685 0.8701
-0.0523 -1.3173 4.5893
3.3021 3.3371 0.9955
S Re Cd P
2 1 1 1
direct
0.5000 0.0000 0.0000
0.0000 0.5000 0.0000
0.5000 0.5000 0.5000
0.0000 0.0000 0.0000
0.0000 0.0000 0.5000

Entry 16:
CdRePS2 | Alexandria via LeMat-Bulk | GGA-PBE | optimized geometry; raw total energy = -5.035 eV per atom; uncorrected formation energy = 0.3703 eV per atom; density of states at the Fermi level = 3.2 states/eV/cell
1.0
4.5201 0.0000 0.0000
0.0000 4.5201 0.0000
0.0000 0.0000 5.1226
S Cd Re P
2 1 1 1
direct
0.5000 0.0000 0.0000
0.0000 0.5000 0.0000
0.5000 0.5000 0.5000
0.0000 0.0000 0.0000
0.0000 0.0000 0.5000

Entry 17:
SrCdRe2P | Alexandria via LeMat-Bulk | GGA-PBE | optimized geometry; raw total energy = -3.591 eV per atom; formation energy from the elements = 2.99 eV per atom; density of states at the Fermi level = 5.8 states/eV/cell
1.0
5.0252 0.0000 0.0000
0.0000 5.2053 0.0000
0.0000 0.0000 5.0252
P Re Cd Sr
1 2 1 1
direct
0.0000 0.5000 0.0000
0.0000 0.0000 0.5000
0.5000 0.0000 0.0000
0.5000 0.5000 0.5000
0.0000 0.0000 0.0000

Entry 18:
CdP2Rh | Alexandria via LeMat-Bulk | GGA-PBE | optimized geometry; raw total energy = -4.885 eV per atom; formation energy from the elements = -0.11 eV per atom; density of states at the Fermi level = 1.4 states/eV/cell
1.0
-2.8530 -0.1277 1.6499
-1.9229 -0.4292 -3.3582
-0.4192 -5.9246 -1.1836
P Cd Rh
2 1 1
direct
0.0000 0.9773 0.2036
0.5000 0.3653 0.1534
0.5000 0.7641 0.7012
0.0000 0.3933 0.4418

Entry 19:
CdPRh | Alexandria via LeMat-Bulk | GGA-PBE | optimized geometry; raw total energy = -4.512 eV per atom; formation energy from the elements = 0.05 eV per atom; density of states at the Fermi level = 2.3 states/eV/cell
1.0
-1.3316 -2.1057 3.3868
0.9452 1.3984 3.8509
-3.0091 1.6319 2.4413
Rh P Cd
1 1 1
direct
0.0000 0.0000 0.0000
0.7500 0.7500 0.7500
0.5000 0.5000 0.5000

Entry 20:
CdPRh | Alexandria via LeMat-Bulk | GGA-PBE | optimized geometry; raw total energy = -4.840 eV per atom; formation energy from the elements = -0.28 eV per atom; density of states at the Fermi level = 1.8 states/eV/cell
1.0
-0.2464 5.0929 -2.6335
-2.5862 -1.1223 -1.9284
-3.5275 0.0064 4.7269
Cd P Rh
2 2 2
direct
0.2362 0.0000 0.6917
0.2362 0.5000 0.1917
0.6297 0.0000 0.1575
0.6297 0.5000 0.6575
0.8431 0.5000 0.3946
0.8431 0.0000 0.8946

Entry 21:
Cd4PRh | Alexandria via LeMat-Bulk | GGA-PBE | optimized geometry; raw total energy = -2.326 eV per atom; formation energy from the elements = 0.41 eV per atom; density of states at the Fermi level = 0.1 states/eV/cell
1.0
0.0000 3.9164 3.9164
3.9164 0.0000 3.9164
3.9164 3.9164 0.0000
Cd Rh P
4 1 1
direct
0.3747 0.8758 0.3747
0.3747 0.3747 0.3747
0.8758 0.3747 0.3747
0.3747 0.3747 0.8758
0.0000 0.0000 0.0000
0.7500 0.7500 0.7500

Entry 22:
CdP2Rh | Alexandria via LeMat-Bulk | GGA-PBE | optimized geometry; raw total energy = -4.867 eV per atom; formation energy from the elements = -0.10 eV per atom; density of states at the Fermi level = 1.8 states/eV/cell
1.0
-3.8847 -1.9412 -0.7300
0.8992 -0.6025 -3.1830
1.8673 -4.2013 1.2350
P Rh Cd
2 1 1
direct
0.0000 0.9989 0.0949
0.0000 0.5011 0.4051
0.5000 0.2500 0.2500
0.5000 0.7500 0.7500

Entry 23:
CdP2Rh | Alexandria via LeMat-Bulk | GGA-PBE | optimized geometry; raw total energy = -4.700 eV per atom; formation energy from the elements = 0.07 eV per atom; density of states at the Fermi level = 2.2 states/eV/cell
1.0
3.0705 0.0000 0.0000
0.0000 3.0705 0.0000
0.0000 0.0000 7.0482
P Rh Cd
2 1 1
direct
0.5000 0.5000 0.2577
0.0000 0.0000 0.0821
0.0000 0.0000 0.4370
0.5000 0.5000 0.7232

Entry 24:
Cd3PRh | Alexandria via LeMat-Bulk | GGA-PBE | optimized geometry; raw total energy = -2.420 eV per atom; formation energy from the elements = 0.68 eV per atom; density of states at the Fermi level = 3.9 states/eV/cell
1.0
5.0819 0.0000 0.0000
0.0000 5.0819 0.0000
0.0000 0.0000 5.0819
Cd P Rh
3 1 1
direct
0.0000 0.5000 0.0000
0.5000 0.0000 0.0000
0.0000 0.0000 0.5000
0.5000 0.5000 0.5000
0.0000 0.0000 0.0000

Entry 25:
CdP2Rh | Alexandria via LeMat-Bulk | GGA-PBE | optimized geometry; raw total energy = -4.500 eV per atom; formation energy from the elements = 0.27 eV per atom; density of states at the Fermi level = 1.7 states/eV/cell
1.0
-3.3159 -1.3861 0.4553
-0.0322 -1.2414 -4.0137
1.6917 -3.6778 1.1239
Rh Cd P
1 1 2
direct
0.5000 0.5000 0.0000
0.5000 0.0000 0.5000
0.0000 0.5000 0.5000
0.0000 0.0000 0.0000

Entry 26:
Cd3PRh | Alexandria via LeMat-Bulk | GGA-PBE | optimized geometry; raw total energy = -2.346 eV per atom; formation energy from the elements = 0.76 eV per atom; density of states at the Fermi level = 2.2 states/eV/cell
1.0
4.9155 0.0000 0.0000
0.0000 4.9155 0.0000
0.0000 0.0000 4.9155
Cd Rh P
3 1 1
direct
0.0000 0.5000 0.0000
0.0000 0.0000 0.5000
0.5000 0.0000 0.0000
0.5000 0.5000 0.5000
0.0000 0.0000 0.0000

Entry 27:
CdP2Rh | Alexandria via LeMat-Bulk | GGA-PBE | optimized geometry; raw total energy = -4.467 eV per atom; formation energy from the elements = 0.30 eV per atom; density of states at the Fermi level = 2.1 states/eV/cell
1.0
5.0234 0.0090 0.0000
1.9842 4.6150 0.0000
-3.5038 -2.3120 2.7592
P Rh Cd
2 1 1
direct
0.2500 0.7500 0.5000
0.0000 0.0000 0.0000
0.5000 0.5000 0.0000
0.7500 0.2500 0.5000

Entry 28:
CdP4Rh | Alexandria via LeMat-Bulk | GGA-PBE | optimized geometry; raw total energy = -4.370 eV per atom; formation energy from the elements = 0.61 eV per atom; density of states at the Fermi level = 3.2 states/eV/cell
1.0
0.0468 0.9937 5.0431
-4.4222 0.2813 2.6052
-1.2438 -3.6879 3.3578
Cd P Rh
1 4 1
direct
0.0000 0.0000 0.0000
0.3697 0.3697 0.3697
0.8908 0.3697 0.3697
0.3697 0.3697 0.8908
0.3697 0.8908 0.3697
0.7500 0.7500 0.7500

Entry 29:
CdP2Rh | Alexandria via LeMat-Bulk | GGA-PBE | optimized geometry; raw total energy = -4.589 eV per atom; formation energy from the elements = 0.18 eV per atom; density of states at the Fermi level = 1.7 states/eV/cell
1.0
4.7112 -0.0982 -0.0417
0.7748 4.6481 0.0417
-2.3144 -2.7917 3.0094
P Rh Cd
2 1 1
direct
0.5354 0.5354 0.0000
0.9646 0.9646 0.0000
0.7500 0.2500 0.5000
0.2500 0.7500 0.5000

Entry 30:
CdP2Rh | Alexandria via LeMat-Bulk | GGA-PBE | optimized geometry; raw total energy = -4.596 eV per atom; formation energy from the elements = 0.18 eV per atom; density of states at the Fermi level = 2.0 states/eV/cell
1.0
5.0703 -0.0014 -0.0054
1.6958 4.7783 0.0054
-2.6779 -3.3873 2.6577
P Cd Rh
2 1 1
direct
0.7582 0.2582 0.5000
0.9622 0.9622 0.0000
0.2422 0.7422 0.5000
0.5374 0.5374 0.0000